A geometry-optimized LiCe2CdSe4 structure. Source: Alexandria, functional PBE.

Properties
The value obtained for the energy relative to the elements, uncorrected is -1004.7 kJ/mol of formula units. The calculation puts the total moment at 0.11 μB/f.u. The density of states at the Fermi level is 17.7 states/eV/f.u. The total energy is -4.881 eV/atom.

a b c (Å): 7.180 4.183 7.239
angles (deg): 90.00 109.05 90.00
Space group P2/m (No. 10)
One atom of each set of equivalent atoms:
Li  0.000  0.000  0.000 [1 per cell]
Ce  0.500  0.000  0.500 [1 per cell]
Ce  0.500  0.500  0.000 [1 per cell]
Cd  0.000  0.500  0.500 [1 per cell]
Se  0.240  0.000  0.750 [2 per cell]
Se  0.240  0.500  0.248 [2 per cell]

A geometry-optimized LiCeCdSi structure. Source: Alexandria, functional PBE.

Properties
The value obtained for the energy relative to the elements, uncorrected is -96.9 kJ/mol of formula units. The calculation puts the total moment at 0.69 μB/f.u. The density of states at the Fermi level is 5.6 states/eV/f.u. The total energy is -3.798 eV/atom.

a b c (Å): 7.021 7.021 7.021
angles (deg): 90.00 90.00 90.00
Space group F-43m (No. 216)
One atom of each set of equivalent atoms:
Li  0.000  0.000  0.000 [4 per cell]
Ce  0.000  0.000  0.500 [4 per cell]
Cd  0.250  0.250  0.250 [4 per cell]
Si  0.250  0.250  0.750 [4 per cell]

A geometry-optimized LiCeSmCd structure. Source: Alexandria, functional PBE.

Properties
The calculation puts the total moment at 1.43 μB/f.u. The value obtained for the energy of formation is -0.003 eV/atom. The density of states at the Fermi level is 10.1 states/eV/f.u. The total energy is -3.374 eV/atom.

a b c (Å): 7.593 7.593 7.593
angles (deg): 90.00 90.00 90.00
Space group F-43m (No. 216)
One atom of each set of equivalent atoms:
Li  0.000  0.000  0.000 [4 per cell]
Ce  0.250  0.250  0.250 [4 per cell]
Sm  0.250  0.250  0.750 [4 per cell]
Cd  0.000  0.000  0.500 [4 per cell]

A geometry-optimized SrLiCeCd structure. Source: Alexandria, functional PBE.

Properties
The calculation puts the total moment at 1.26 μB/f.u. The value obtained for the energy of formation is 0.018 eV/atom. The density of states at the Fermi level is 8.8 states/eV/f.u. The total energy is -2.593 eV/atom.

a b c (Å): 7.895 7.895 7.895
angles (deg): 90.00 90.00 90.00
Space group F-43m (No. 216)
One atom of each set of equivalent atoms:
Sr  0.000  0.000  0.000 [4 per cell]
Li  0.250  0.250  0.750 [4 per cell]
Ce  0.000  0.000  0.500 [4 per cell]
Cd  0.250  0.250  0.250 [4 per cell]

A geometry-optimized LiCeYCd structure. Source: Alexandria, functional PBE.

Properties
The calculation puts the total moment at 1.38 μB/f.u. The value obtained for the energy of formation is -0.019 eV/atom. The density of states at the Fermi level is 9.0 states/eV/f.u. The total energy is -3.825 eV/atom.

a b c (Å): 7.535 7.535 7.535
angles (deg): 90.00 90.00 90.00
Space group F-43m (No. 216)
One atom of each set of equivalent atoms:
Li  0.000  0.000  0.000 [4 per cell]
Ce  0.250  0.250  0.750 [4 per cell]
Y  0.250  0.250  0.250 [4 per cell]
Cd  0.000  0.000  0.500 [4 per cell]

A geometry-optimized LiCeZnCd structure. Source: Alexandria, functional PBE.

Properties
The calculation puts the total moment at 0.88 μB/f.u. The value obtained for the energy of formation is -0.176 eV/atom. The density of states at the Fermi level is 6.9 states/eV/f.u. The total energy is -2.685 eV/atom.

a b c (Å): 6.939 6.939 6.939
angles (deg): 90.00 90.00 90.00
Space group F-43m (No. 216)
One atom of each set of equivalent atoms:
Li  0.000  0.000  0.000 [4 per cell]
Ce  0.250  0.250  0.750 [4 per cell]
Zn  0.000  0.000  0.500 [4 per cell]
Cd  0.250  0.250  0.250 [4 per cell]